# Li2CrGaO4

Li2CrGaO4 after structural relaxation (PBE+U, the Alexandria database).

## Properties
VASP energy, eV/atom: -6.25
Symmetry: I-4m2
Calculated volume, Å³/cell: 72.8
Density of states at the Fermi level, states/eV per cell: 0.00

abc: 5.248 5.248 5.248
angles: 134.33 134.33 66.57
Atoms (fractional coordinates):
Li  0.000  0.000  0.000
Li  0.750  0.250  0.500
Cr  0.250  0.750  0.500
Ga  0.500  0.500  0.000
O  0.021  0.521  0.500
O  0.273  0.273  0.000
O  0.479  0.979  0.500
O  0.727  0.727  0.000